Entry 1:
Material: Nb4CdSiC2
Method: DFT, GGA-PBE
State: optimized geometry

Structure (POSCAR):
```
Nb4CdSiC2
1.0
3.210 0.000 0.000
-1.605 2.780 0.000
0.000 0.000 13.542
Cd Nb Si C
1 4 1 2
direct
0.000 0.000 0.000
0.667 0.333 0.819
0.000 0.000 0.357
0.667 0.333 0.181
0.000 0.000 0.643
0.667 0.333 0.500
0.333 0.667 0.265
0.333 0.667 0.735
```

Results
* magnetization: 0.000 μB per atom
* symmetry: P-6m2, No. 187
* final energy: -8.564 eV/atom

***

Entry 2:
Material: Nb4CdSnC2
Method: DFT, GGA-PBE
State: optimized geometry

Structure (POSCAR):
```
Nb4CdSnC2
1.0
-0.439 1.673 -2.722
-0.457 -3.192 0.022
-13.722 1.988 3.437
Cd Nb C Sn
1 4 2 1
direct
0.000 0.000 0.500
0.333 0.667 0.672
0.333 0.667 0.328
0.000 0.000 0.164
0.000 0.000 0.836
0.667 0.333 0.249
0.667 0.333 0.751
0.333 0.667 0.000
```

Results
* magnetization: 0.000 μB per atom
* symmetry: P-6m2, No. 187
* final energy: -8.331 eV/atom